Record 1
A relaxed MnAlCr2Se6 crystal. Source: Alexandria, functional PBE.

Crystal system   trigonal
Formation energy without anion corrections   -536.7 meV per atom
SG   R3, No. 146
Density of states at the Fermi level   0.39 states/eV/atom
Mass density   5.31 g/cm³

a = 6.437 Å, b = 6.437 Å, c = 6.841 Å
α = 61.95°, β = 61.94°, γ = 60.01°
Positions (direct):
Se: 0.107 0.415 0.752
Mn: 0.821 0.821 0.537
Se: 0.726 0.107 0.752
Se: 0.609 0.229 0.249
Cr: 0.511 0.511 0.468
Se: 0.912 0.609 0.249
Cr: 0.013 0.013 0.961
Al: 0.318 0.318 0.046
Se: 0.229 0.913 0.249
Se: 0.415 0.726 0.752

=====

Record 2
A relaxed CaY2Te crystal. Source: Alexandria, functional PBE.

Crystal system   orthorhombic
Formation energy without anion corrections   -358.7 meV per atom
SG   Cmmm, No. 65
Density of states at the Fermi level   1.33 states/eV/atom
Mass density   4.69 g/cm³

a = 5.742 Å, b = 5.742 Å, c = 3.880 Å
α = 90.00°, β = 90.00°, γ = 107.01°
Positions (direct):
Te: 0.000 0.500 0.500
Y: 0.500 0.500 0.000
Ca: 0.500 0.000 0.500
Y: 0.000 0.000 0.000

=====

Record 3
A relaxed Sb6RhAu crystal. Source: Alexandria, functional PBE.

Crystal system   monoclinic
Formation energy without anion corrections   -175.7 meV per atom
SG   C2/m, No. 12
Density of states at the Fermi level   0.39 states/eV/atom
Mass density   7.71 g/cm³

a = 8.377 Å, b = 8.377 Å, c = 8.272 Å
α = 109.03°, β = 109.46°, γ = 110.43°
Positions (direct):
Sb: 0.665 0.502 0.858
Sb: 0.153 0.359 0.512
Sb: 0.335 0.498 0.142
Sb: 0.500 0.856 0.663
Sb: 0.846 0.334 0.180
Sb: 0.807 0.163 0.663
Sb: 0.644 0.807 0.142
Sb: 0.847 0.641 0.488
Au: 0.000 0.000 0.500
Au: 0.500 0.500 0.500
Rh: 0.500 0.000 0.000
Rh: 0.000 0.500 0.000
Sb: 0.193 0.837 0.337
Sb: 0.356 0.193 0.858
Sb: 0.500 0.144 0.337
Sb: 0.154 0.666 0.820

=====

Record 4
A relaxed Dy2Tm2Bi3 crystal. Source: Alexandria, functional PBE.

Crystal system   triclinic
SG   P-1, No. 2
Energy of formation   -0.535 eV per atom
Density of states at the Fermi level   0.49 states/eV/atom
Mass density   9.35 g/cm³

a = 4.395 Å, b = 7.413 Å, c = 7.453 Å
α = 98.51°, β = 90.02°, γ = 107.29°
Positions (direct):
Tm: 0.622 0.244 0.858
Tm: 0.378 0.756 0.142
Dy: 0.884 0.766 0.608
Bi: 0.740 0.481 0.246
Bi: 0.260 0.519 0.754
Bi: 0.000 0.000 0.000
Dy: 0.116 0.234 0.392

=====

Record 5
A relaxed Ti2AgPbCl crystal. Source: Alexandria, functional PBE.

Crystal system   tetragonal
Formation energy without anion corrections   844.5 meV per atom
SG   P4/mmm, No. 123
Density of states at the Fermi level   0.99 states/eV/atom
Mass density   4.76 g/cm³

a = 5.450 Å, b = 5.450 Å, c = 5.245 Å
α = 90.00°, β = 90.00°, γ = 90.00°
Positions (direct):
Ag: 0.000 0.000 0.500
Pb: 0.000 0.000 0.000
Ti: 0.000 0.500 0.000
Ti: 0.500 0.000 0.000
Cl: 0.500 0.500 0.500

=====

Record 6
A relaxed NaAuCl4 crystal. Source: Alexandria, functional PBE.

Crystal system   monoclinic
Formation energy without anion corrections   -802.2 meV per atom
SG   C2/m, No. 12
Density of states at the Fermi level   0.00 states/eV/atom
Mass density   3.18 g/cm³

a = 7.514 Å, b = 7.514 Å, c = 7.899 Å
α = 89.87°, β = 89.87°, γ = 58.00°
Positions (direct):
Cl: 0.708 0.208 0.964
Cl: 0.579 0.079 0.324
Cl: 0.921 0.421 0.176
Cl: 0.208 0.708 0.464
Cl: 0.421 0.921 0.676
Cl: 0.079 0.579 0.824
Au: 0.250 0.750 0.750
Cl: 0.792 0.292 0.536
Na: 0.000 0.500 0.500
Na: 0.500 0.000 0.000
Cl: 0.292 0.792 0.036
Au: 0.750 0.250 0.250

=====

Record 7
A relaxed CaTa3 crystal. Source: Alexandria, functional PBE.

Crystal system   cubic
SG   Fm-3m, No. 225
Energy of formation   0.700 eV per atom
Density of states at the Fermi level   1.32 states/eV/atom
Mass density   11.90 g/cm³

a = 4.863 Å, b = 4.863 Å, c = 4.863 Å
α = 60.00°, β = 60.00°, γ = 60.00°
Positions (direct):
Ta: 0.250 0.250 0.250
Ta: 0.750 0.750 0.750
Ta: 0.500 0.500 0.500
Ca: 0.000 0.000 0.000

=====

Record 8
A relaxed CsSrF3 crystal. Source: Alexandria, functional PBE.

Crystal system   orthorhombic
Formation energy without anion corrections   -3143.9 meV per atom
SG   Cmcm, No. 63
Density of states at the Fermi level   0.00 states/eV/atom
Mass density   2.82 g/cm³
Distance to the lowest polymorph of the same formula   289 meV/atom

a = 9.104 Å, b = 9.104 Å, c = 5.734 Å
α = 90.00°, β = 90.00°, γ = 136.59°
Positions (direct):
Cs: 0.676 0.324 0.750
Sr: 0.104 0.896 0.250
F: 0.000 0.000 0.000
Cs: 0.324 0.676 0.250
F: 0.452 0.081 0.250
F: 0.081 0.452 0.750
F: 0.919 0.548 0.250
F: 0.000 0.000 0.500
F: 0.548 0.919 0.750
Sr: 0.896 0.104 0.750

=====

Record 9
A relaxed Fe3HW crystal. Source: Alexandria, functional PBE.

Crystal system   monoclinic
SG   P2_1/m, No. 11
Density of states at the Fermi level   0.86 states/eV/atom
Mass density   11.99 g/cm³
Distance to the lowest polymorph of the same formula   24 meV/atom

a = 4.564 Å, b = 5.144 Å, c = 4.158 Å
α = 90.00°, β = 90.67°, γ = 90.00°
Positions (direct):
H: 0.993 0.250 0.514
W: 0.351 0.250 0.239
Fe: 0.162 0.999 0.755
Fe: 0.838 0.499 0.245
H: 0.007 0.750 0.486
Fe: 0.838 0.001 0.245
Fe: 0.162 0.501 0.755
W: 0.649 0.750 0.761
Fe: 0.673 0.250 0.753
Fe: 0.327 0.750 0.247

=====

Record 10
A relaxed Hf2PAuSe crystal. Source: Alexandria, functional PBE.

Crystal system   tetragonal
Formation energy without anion corrections   528.2 meV per atom
SG   P4/mmm, No. 123
Density of states at the Fermi level   0.94 states/eV/atom
Mass density   9.43 g/cm³

a = 4.957 Å, b = 4.759 Å, c = 4.957 Å
α = 90.00°, β = 90.00°, γ = 90.00°
Positions (direct):
P: 0.500 0.500 0.500
Se: 0.000 0.000 0.000
Au: 0.000 0.500 0.000
Hf: 0.000 0.000 0.500
Hf: 0.500 0.000 0.000

=====

Record 11
A relaxed Er8InOs2 crystal. Source: Alexandria, functional PBE.

Crystal system   monoclinic
SG   C2/m, No. 12
Energy of formation   -0.249 eV per atom
Density of states at the Fermi level   0.75 states/eV/atom
Mass density   10.19 g/cm³

a = 5.410 Å, b = 7.834 Å, c = 7.834 Å
α = 112.18°, β = 97.58°, γ = 97.58°
Positions (direct):
Er: 0.701 0.384 0.384
Er: 0.921 0.938 0.669
In: 0.500 0.000 0.000
Er: 0.921 0.669 0.938
Os: 0.000 0.316 0.684
Er: 0.299 0.616 0.616
Os: 0.000 0.684 0.316
Er: 0.500 0.248 0.752
Er: 0.079 0.331 0.062
Er: 0.500 0.752 0.248
Er: 0.079 0.062 0.331

=====

Record 12
A relaxed Mg2GaSi crystal. Source: Alexandria, functional PBE.

Crystal system   tetragonal
Formation energy without anion corrections   19.1 meV per atom
SG   P4/mmm, No. 123
Density of states at the Fermi level   0.43 states/eV/atom
Mass density   3.23 g/cm³

a = 3.395 Å, b = 3.395 Å, c = 6.523 Å
α = 90.00°, β = 90.00°, γ = 90.00°
Positions (direct):
Si: 0.500 0.500 0.000
Mg: 0.000 0.000 0.241
Mg: 0.000 0.000 0.759
Ga: 0.500 0.500 0.500

=====

Record 13
A relaxed TeMo2Ru crystal. Source: Alexandria, functional PBE.

Crystal system   trigonal
Formation energy without anion corrections   421.9 meV per atom
SG   R3m, No. 160
Density of states at the Fermi level   0.92 states/eV/atom
Mass density   9.97 g/cm³

a = 8.542 Å, b = 8.542 Å, c = 8.542 Å
α = 20.99°, β = 20.99°, γ = 20.99°
Positions (direct):
Mo: 0.994 0.994 0.994
Ru: 0.505 0.505 0.505
Te: 0.751 0.751 0.751
Mo: 0.251 0.251 0.251

=====

Record 14
A relaxed K2CdAsS4 crystal. Source: Alexandria, functional PBE.

Crystal system   orthorhombic
Formation energy without anion corrections   -568.7 meV per atom
SG   Fddd, No. 70
Density of states at the Fermi level   0.59 states/eV/atom
Mass density   2.64 g/cm³

a = 6.264 Å, b = 7.515 Å, c = 12.000 Å
α = 83.75°, β = 74.87°, γ = 65.37°
Positions (direct):
As: 0.250 0.500 0.500
K: 0.184 0.000 0.633
S: 0.881 0.792 0.894
K: 0.566 0.500 0.867
K: 0.816 0.000 0.367
Cd: 0.000 0.000 0.000
S: 0.869 0.708 0.606
S: 0.566 0.208 0.106
Cd: 0.750 0.500 0.500
S: 0.226 0.208 0.894
K: 0.934 0.500 0.133
S: 0.524 0.292 0.606
S: 0.422 0.708 0.394
S: 0.328 0.792 0.106
As: 0.500 0.000 0.000
S: 0.184 0.292 0.394

=====

Record 15
A relaxed Gd2HoRu crystal. Source: Alexandria, functional PBE.

Crystal system   trigonal
SG   R-3m, No. 166
Energy of formation   0.122 eV per atom
Density of states at the Fermi level   1.11 states/eV/atom
Mass density   8.50 g/cm³
Distance to the lowest polymorph of the same formula   267 meV/atom

a = 3.516 Å, b = 3.516 Å, c = 10.792 Å
α = 80.63°, β = 80.63°, γ = 60.00°
Positions (direct):
Gd: 0.894 0.894 0.318
Gd: 0.106 0.106 0.682
Ru: 0.500 0.500 0.500
Ho: 0.000 0.000 0.000

=====

Record 16
A relaxed MnMo3Se crystal. Source: Alexandria, functional PBE.

Crystal system   cubic
Formation energy without anion corrections   1563.4 meV per atom
SG   Pm-3m, No. 221
Density of states at the Fermi level   1.46 states/eV/atom
Mass density   7.46 g/cm³
Distance to the lowest polymorph of the same formula   354 meV/atom

a = 4.544 Å, b = 4.544 Å, c = 4.544 Å
α = 90.00°, β = 90.00°, γ = 90.00°
Positions (direct):
Mo: 0.500 0.000 0.000
Mo: 0.000 0.500 0.000
Mn: 0.500 0.500 0.500
Se: 0.000 0.000 0.000
Mo: 0.000 0.000 0.500

=====

Record 17
A relaxed TmSc4PbS8 crystal. Source: Alexandria, functional PBE.

Crystal system   trigonal
Formation energy without anion corrections   -1649.2 meV per atom
SG   R3m, No. 160
Density of states at the Fermi level   0.43 states/eV/atom
Mass density   4.00 g/cm³

a = 7.735 Å, b = 7.735 Å, c = 7.900 Å
α = 60.69°, β = 60.69°, γ = 60.00°
Positions (direct):
S: 0.754 0.232 0.261
S: 0.241 0.241 0.723
S: 0.795 0.241 0.723
S: 0.230 0.230 0.310
Pb: 0.370 0.370 0.890
Sc: 0.627 0.627 0.119
S: 0.232 0.754 0.261
Sc: 0.000 0.000 0.502
S: 0.754 0.754 0.261
S: 0.757 0.757 0.728
Sc: 0.498 0.000 0.502
S: 0.241 0.795 0.723
Sc: 0.000 0.498 0.502
Tm: 0.001 0.001 0.996

=====

Record 18
A relaxed Co2AgMo crystal. Source: Alexandria, functional PBE.

Crystal system   cubic
SG   Fm-3m, No. 225
Energy of formation   0.391 eV per atom
Density of states at the Fermi level   0.75 states/eV/atom
Mass density   9.94 g/cm³
Distance to the lowest polymorph of the same formula   106 meV/atom

a = 4.235 Å, b = 4.235 Å, c = 4.235 Å
α = 60.00°, β = 60.00°, γ = 60.00°
Positions (direct):
Co: 0.250 0.250 0.250
Ag: 0.500 0.500 0.500
Co: 0.750 0.750 0.750
Mo: 0.000 0.000 0.000

=====

Record 19
A relaxed Nb2MoW4 crystal. Source: Alexandria, functional PBE.

Crystal system   orthorhombic
SG   Cmmm, No. 65
Energy of formation   0.523 eV per atom
Density of states at the Fermi level   0.72 states/eV/atom
Mass density   13.32 g/cm³
Distance to the lowest polymorph of the same formula   0 meV/atom

a = 5.486 Å, b = 5.486 Å, c = 8.934 Å
α = 90.00°, β = 90.00°, γ = 109.49°
Positions (direct):
W: 0.000 0.500 0.250
W: 0.247 0.247 0.500
W: 0.753 0.753 0.500
Nb: 0.248 0.752 0.500
Mo: 0.500 0.500 0.250
W: 0.247 0.247 0.000
W: 0.500 0.000 0.250
W: 0.753 0.753 0.000
W: 0.500 0.000 0.750
W: 0.000 0.500 0.750
Nb: 0.248 0.752 0.000
Nb: 0.752 0.248 0.000
Mo: 0.500 0.500 0.750
Nb: 0.752 0.248 0.500

=====

Record 20
A relaxed NdSm14Cd crystal. Source: Alexandria, functional PBE.

Crystal system   tetragonal
SG   P4/mmm, No. 123
Energy of formation   -0.008 eV per atom
Density of states at the Fermi level   1.19 states/eV/atom
Mass density   7.46 g/cm³

a = 7.174 Å, b = 7.174 Å, c = 10.216 Å
α = 90.00°, β = 90.00°, γ = 90.01°
Positions (direct):
Sm: 0.626 0.374 0.247
Sm: 0.875 0.125 0.500
Sm: 0.375 0.125 0.000
Sm: 0.375 0.125 0.500
Cd: 0.875 0.125 0.000
Sm: 0.375 0.625 0.500
Sm: 0.124 0.876 0.247
Sm: 0.627 0.877 0.753
Sm: 0.626 0.374 0.753
Sm: 0.875 0.625 0.500
Sm: 0.123 0.373 0.753
Sm: 0.123 0.373 0.247
Sm: 0.124 0.876 0.753
Sm: 0.875 0.625 0.000
Sm: 0.627 0.877 0.247
Nd: 0.375 0.625 0.000

=====

Record 21
A relaxed BaCaTe2 crystal. Source: Alexandria, functional PBE.

Crystal system   trigonal
Formation energy without anion corrections   -1112.5 meV per atom
SG   R-3m, No. 166
Density of states at the Fermi level   0.00 states/eV/atom
Mass density   3.17 g/cm³
Distance to the lowest polymorph of the same formula   583 meV/atom

a = 9.780 Å, b = 9.780 Å, c = 9.780 Å
α = 31.50°, β = 31.50°, γ = 31.50°
Positions (direct):
Te: 0.103 0.103 0.103
Ba: 0.500 0.500 0.500
Te: 0.897 0.897 0.897
Ca: 0.000 0.000 0.000

=====

Record 22
A relaxed BeNiBIr crystal. Source: Alexandria, functional PBE.

Crystal system   cubic
SG   F-43m, No. 216
Energy of formation   -0.257 eV per atom
Density of states at the Fermi level   0.22 states/eV/atom
Mass density   11.76 g/cm³

a = 3.781 Å, b = 3.781 Å, c = 3.781 Å
α = 60.00°, β = 60.00°, γ = 60.00°
Positions (direct):
Ir: 0.500 0.500 0.500
Be: 0.750 0.750 0.750
B: 0.250 0.250 0.250
Ni: 0.000 0.000 0.000

=====

Record 23
A relaxed InFeAs2 crystal. Source: Alexandria, functional PBE.

Crystal system   cubic
SG   F-43m, No. 216
Energy of formation   0.553 eV per atom
Density of states at the Fermi level   1.32 states/eV/atom
Mass density   7.10 g/cm³

a = 4.734 Å, b = 4.734 Å, c = 4.734 Å
α = 60.00°, β = 60.00°, γ = 60.00°
Positions (direct):
Fe: 0.500 0.500 0.500
As: 0.000 0.000 0.000
In: 0.750 0.750 0.750
As: 0.250 0.250 0.250

=====

Record 24
A relaxed EuErSn crystal. Source: Alexandria, functional PBE.

Crystal system   tetragonal
SG   I4mm, No. 107
Energy of formation   0.051 eV per atom
Density of states at the Fermi level   0.94 states/eV/atom
Mass density   7.02 g/cm³
Distance to the lowest polymorph of the same formula   444 meV/atom

a = 3.432 Å, b = 3.432 Å, c = 9.128 Å
α = 100.83°, β = 100.83°, γ = 90.00°
Positions (direct):
Er: 0.756 0.756 0.512
Eu: 0.956 0.956 0.912
Sn: 0.138 0.138 0.276

=====

Record 25
A relaxed RbTa3C crystal. Source: Alexandria, functional PBE.

Crystal system   cubic
SG   Pm-3m, No. 221
Energy of formation   1.219 eV per atom
Density of states at the Fermi level   0.94 states/eV/atom
Mass density   11.57 g/cm³
Distance to the lowest polymorph of the same formula   0 meV/atom

a = 4.513 Å, b = 4.513 Å, c = 4.513 Å
α = 90.00°, β = 90.00°, γ = 90.00°
Positions (direct):
Ta: 0.500 0.000 0.000
Rb: 0.500 0.500 0.500
Ta: 0.000 0.000 0.500
Ta: 0.000 0.500 0.000
C: 0.000 0.000 0.000